# 1
This record from Alexandria via LeMat-Bulk describes an optimized crystal structure of DyY2P. The functional is GGA-PBE.

a b c (Å): 3.796 3.796 9.619
angles (deg): 78.62 78.62 60.00
Last column: magnetic moment on the atom in μB.
Positions (direct):
Dy: 0.500 0.500 0.500  0.11
P: 0.000 0.000 0.000  0.00
Y: 0.725 0.725 0.824  0.02
Y: 0.275 0.275 0.176  0.02

## Properties
ΔE_f in kcal/mol of atoms: -16.0
Space group: R-3m, No. 166
Density of states at the Fermi level in states/eV/atom: 1.23

=====

# 2
This record from Alexandria via LeMat-Bulk describes an optimized crystal structure of DyYP. The functional is GGA-PBE.

a b c (Å): 3.909 3.909 6.624
angles (deg): 72.84 72.84 60.00
Positions (direct):
Y: 0.109 0.109 0.672
P: 0.358 0.358 0.927
Dy: 0.606 0.606 0.181

## Properties
ΔE_f in kcal/mol of atoms: -23.7
Space group: R3m, No. 160
Density of states at the Fermi level in states/eV/atom: 0.90

=====

# 3
This record from Alexandria via LeMat-Bulk describes an optimized crystal structure of DyYP. The functional is GGA-PBE.

a b c (Å): 3.908 3.908 6.354
angles (deg): 90.00 90.00 120.00
Last column: magnetic moment on the atom in μB.
Positions (direct):
P: 0.667 0.333 0.334  0.00
Dy: 0.333 0.667 0.582  0.11
Y: 0.000 0.000 0.084  -0.08

## Properties
ΔE_f in kcal/mol of atoms: -22.8
Space group: P3m1, No. 156
Density of states at the Fermi level in states/eV/atom: 1.05

=====

ΔE_f of number 2 (DyYP)? -23.7 kcal/mol of atoms